Density functional theory data (PBE) for an optimized crystal structure of In2CoHgN.

E_form (uncorrected) in eV per atom: 0.98

POSCAR file:
```
In2CoHgN
1.0
-4.066 -0.101 -2.027
-1.258 -3.511 2.698
-1.606 2.937 3.073
N Co Hg In
1 1 1 2
Direct
0.000 0.000 0.000
0.500 0.500 0.500
0.000 0.500 0.000
0.000 0.000 0.500
0.500 0.000 0.000
```